1.
SrMnPd3 | GGA-PBE | relaxed

Cell: 4.7091 4.7091 4.7091 Å, 90.00 90.00 90.00°
Fractional coordinates of all 5 atoms:
Sr (0.5000, 0.5000, 0.5000)
Mn (0.0000, 0.0000, 0.0000)
Pd (0.0000, 0.5000, 0.0000)
Pd (0.0000, 0.0000, 0.5000)
Pd (0.5000, 0.0000, 0.0000)

Summary:
Final energy, eV per atom: -5.058
DFT formation energy, eV per atom: 0.228

2.
Sr2MnPd | GGA-PBE | relaxed

Cell: 5.4044 5.4044 5.4044 Å, 60.00 60.00 60.00°
Last column: magnetic moment on the atom in μB.
Fractional coordinates of all 4 atoms:
Sr (0.2500, 0.2500, 0.2500)  -0.05
Sr (0.7500, 0.7500, 0.7500)  -0.05
Mn (0.0000, 0.0000, 0.0000)  3.89
Pd (0.5000, 0.5000, 0.5000)  0.08

Summary:
Final energy, eV per atom: -4.317
DFT formation energy, eV per atom: 0.115

3.
SrMnPd4 | GGA-PBE | relaxed

Cell: 5.4251 5.4251 5.4251 Å, 60.00 60.00 60.00°
Last column: magnetic moment on the atom in μB.
Fractional coordinates of all 6 atoms:
Sr (0.2500, 0.2500, 0.2500)  0.02
Mn (0.0000, 0.0000, 0.0000)  4.28
Pd (0.6256, 0.6256, 0.1231)  0.13
Pd (0.6256, 0.1231, 0.6256)  0.13
Pd (0.6256, 0.6256, 0.6256)  0.13
Pd (0.1231, 0.6256, 0.6256)  0.13

Summary:
Final energy, eV per atom: -5.518
DFT formation energy, eV per atom: -0.248

4.
SrMnPd3 | GGA-PBE | relaxed

Cell: 5.1206 5.1206 5.1206 Å, 90.00 90.00 90.00°
Last column: magnetic moment on the atom in μB.
Fractional coordinates of all 5 atoms:
Sr (0.0000, 0.0000, 0.0000)  -0.01
Mn (0.5000, 0.5000, 0.5000)  4.50
Pd (0.0000, 0.5000, 0.0000)  0.04
Pd (0.0000, 0.0000, 0.5000)  0.04
Pd (0.5000, 0.0000, 0.0000)  0.06

Summary:
Final energy, eV per atom: -4.185
DFT formation energy, eV per atom: 1.101

5.
Sr2MnPd | GGA-PBE | relaxed

Cell: 8.5342 8.5342 6.8799 Å, 51.67 51.67 90.00°
Last column: magnetic moment on the atom in μB.
Fractional coordinates of all 8 atoms:
Sr (0.6620, 0.1250, 0.2500)  -0.04
Sr (0.0880, 0.6250, 0.2500)  -0.04
Sr (0.3750, 0.3380, 0.7500)  -0.04
Sr (0.8750, 0.9120, 0.7500)  -0.04
Mn (0.5000, 0.5000, 0.0000)  4.07
Mn (0.2500, 0.7500, 0.5000)  4.06
Pd (0.0000, 0.0000, 0.0000)  0.00
Pd (0.7500, 0.2500, 0.5000)  0.00

Summary:
Final energy, eV per atom: -4.123
DFT formation energy, eV per atom: 0.309

6.
SrMn3Pd | GGA-PBE | relaxed

Cell: 4.8350 4.8350 4.8350 Å, 90.00 90.00 90.00°
Last column: magnetic moment on the atom in μB.
Fractional coordinates of all 5 atoms:
Sr (0.0000, 0.0000, 0.0000)  -0.17
Mn (0.0000, 0.5000, 0.0000)  3.68
Mn (0.0000, 0.0000, 0.5000)  3.10
Mn (0.5000, 0.0000, 0.0000)  4.10
Pd (0.5000, 0.5000, 0.5000)  0.09

Summary:
Final energy, eV per atom: -4.840
DFT formation energy, eV per atom: 2.037

7.
SrMn3Pd | GGA-PBE | relaxed

Cell: 4.9714 4.9714 4.9714 Å, 90.00 90.00 90.00°
Last column: magnetic moment on the atom in μB.
Fractional coordinates of all 5 atoms:
Sr (0.5000, 0.5000, 0.5000)  -0.06
Mn (0.0000, 0.5000, 0.0000)  4.11
Mn (0.0000, 0.0000, 0.5000)  4.12
Mn (0.5000, 0.0000, 0.0000)  3.92
Pd (0.0000, 0.0000, 0.0000)  0.35

Summary:
Final energy, eV per atom: -6.358
DFT formation energy, eV per atom: 0.518

8.
Sr3MnPd | GGA-PBE | relaxed

Cell: 5.8717 5.8717 5.8717 Å, 90.00 90.00 90.00°
Last column: magnetic moment on the atom in μB.
Fractional coordinates of all 5 atoms:
Sr (0.0000, 0.5000, 0.0000)  -0.01
Sr (0.0000, 0.0000, 0.5000)  -0.01
Sr (0.5000, 0.0000, 0.0000)  -0.02
Mn (0.5000, 0.5000, 0.5000)  4.30
Pd (0.0000, 0.0000, 0.0000)  0.01

Summary:
Final energy, eV per atom: -3.735
DFT formation energy, eV per atom: 0.146

9.
SrMnPd2 | GGA-PBE | relaxed

Cell: 5.0275 5.0275 9.2256 Å, 74.19 74.19 90.00°
Last column: magnetic moment on the atom in μB.
Fractional coordinates of all 8 atoms:
Sr (0.0000, 0.0000, 0.0000)  -0.02
Sr (0.7500, 0.2500, 0.5000)  -0.02
Mn (0.5000, 0.5000, 0.0000)  4.00
Mn (0.2500, 0.7500, 0.5000)  3.99
Pd (0.4418, 0.1250, 0.2500)  0.19
Pd (0.3082, 0.6250, 0.2500)  0.19
Pd (0.3750, 0.5582, 0.7500)  0.19
Pd (0.8750, 0.6918, 0.7500)  0.18

Summary:
Final energy, eV per atom: -5.292
DFT formation energy, eV per atom: 0.018

10.
SrYMn2Pd | GGA-PBE | relaxed

Cell: 4.8138 5.5698 4.8138 Å, 90.00 90.00 90.00°
Last column: magnetic moment on the atom in μB.
Fractional coordinates of all 5 atoms:
Y (0.0000, 0.5000, 0.0000)  -0.32
Sr (0.0000, 0.0000, 0.0000)  -0.24
Mn (0.0000, 0.0000, 0.5000)  3.17
Mn (0.5000, 0.0000, 0.0000)  3.87
Pd (0.5000, 0.5000, 0.5000)  0.01

Summary:
Final energy, eV per atom: -4.605
DFT formation energy, eV per atom: 1.731

11.
SrMn2ZnPd | GGA-PBE | relaxed

Cell: 4.7061 5.7200 4.7061 Å, 90.00 90.00 90.00°
Last column: magnetic moment on the atom in μB.
Fractional coordinates of all 5 atoms:
Sr (0.0000, 0.5000, 0.0000)  -0.04
Zn (0.0000, 0.0000, 0.0000)  -0.09
Mn (0.0000, 0.0000, 0.5000)  4.09
Mn (0.5000, 0.0000, 0.0000)  3.77
Pd (0.5000, 0.5000, 0.5000)  0.04

Summary:
Final energy, eV per atom: -4.612
DFT formation energy, eV per atom: 0.686

12.
TaMnPd5 | GGA-PBE | relaxed

Cell: 4.0185 4.0185 7.1226 Å, 90.00 90.00 90.00°
Last column: magnetic moment on the atom in μB.
Fractional coordinates of all 7 atoms:
Ta (0.0000, 0.0000, 0.5000)  -0.01
Mn (0.5000, 0.5000, 0.0000)  3.95
Pd (0.0000, 0.5000, 0.7674)  0.13
Pd (0.0000, 0.5000, 0.2326)  0.13
Pd (0.5000, 0.0000, 0.7674)  0.13
Pd (0.5000, 0.0000, 0.2326)  0.13
Pd (0.5000, 0.5000, 0.5000)  0.06

Summary:
Final energy, eV per atom: -6.976
DFT formation energy, eV per atom: -0.264